Material: Li4Y3HoS8
Method: DFT, PBE
State: optimized geometry

a = 7.8205 Å, b = 7.8205 Å, c = 18.5447 Å
α = 90.00°, β = 90.00°, γ = 120.00°
Last column: nearest neighbours and their distance in Å.
Space group R-3m (No. 166, hexagonal axes)
Inequivalent atoms, fractional coordinates:
1 Li 0.0000 0.0000 0.0000 (multiplicity 3)  6 S 2.74
2 Li 0.0000 0.5000 0.0000 (multiplicity 9)  6 S 2.73
3 Y 0.0000 0.5000 0.5000 (multiplicity 9)  6 S 2.74
4 Ho 0.0000 0.0000 0.5000 (multiplicity 3)  6 S 2.73
5 S 0.0000 0.0000 0.2504 (multiplicity 6)  3 Li 2.73, 3 Y 2.74
6 S 0.0015 0.5007 0.2501 (multiplicity 18)  1 Ho 2.73, 3 Li 2.73-2.74, 2 Y 2.74

* formation energy from raw total energies: -1.852 eV per atom


Material: WSeCl2
Method: DFT, PBE
State: optimized geometry

a = 2.9614 Å, b = 2.9614 Å, c = 9.2234 Å
α = 90.00°, β = 90.00°, γ = 90.00°
Last column: nearest neighbours and their distance in Å.
Space group P4/mmm (No. 123)
Inequivalent atoms, fractional coordinates:
1 W 0.0000 0.0000 0.0000 (multiplicity 1)  8 Cl 2.58
2 Se 0.0000 0.0000 0.5000 (multiplicity 1)  4 Se 2.96
3 Cl 0.5000 0.5000 0.1635 (multiplicity 2)  4 W 2.58

* ΔE to the lowest computed polymorph: 831.7 meV per atom
* formation energy from raw total energies: 0.382 eV per atom


Material: AcCeMg10
Method: DFT, PBE
State: optimized geometry

a = 4.9747 Å, b = 6.0877 Å, c = 10.5100 Å
α = 90.00°, β = 90.00°, γ = 90.00°
Last column: nearest neighbours and their distance in Å.
Space group Pmmm (No. 47)
Inequivalent atoms, fractional coordinates:
1 Ac 0.0000 0.0000 0.0000 (multiplicity 1)  18 Mg 3.55-3.96
2 Ce 0.0000 0.5000 0.5000 (multiplicity 1)  6 Mg 3.43-3.49
3 Mg 0.0000 0.0000 0.3382 (multiplicity 2)  6 Mg 3.01-3.05
4 Mg 0.0000 0.5000 0.1733 (multiplicity 2)  6 Mg 3.03-3.08
5 Mg 0.5000 0.0000 0.5000 (multiplicity 1)  8 Mg 3.00-3.01
6 Mg 0.5000 0.2524 0.2547 (multiplicity 4)  8 Mg 3.00-3.07
7 Mg 0.5000 0.5000 0.0000 (multiplicity 1)  8 Mg 3.07-3.08


Material: Li2Pa2S5
Method: DFT, PBE
State: optimized geometry

a = 13.9068 Å, b = 4.2439 Å, c = 8.1200 Å
α = 90.00°, β = 121.36°, γ = 90.00°
Last column: nearest neighbours and their distance in Å.
Space group C2/m (No. 12)
Inequivalent atoms, fractional coordinates:
1 Li 0.1701 0.0000 0.0011 (multiplicity 4)  4 S 2.43-2.52
2 Pa 0.1025 0.5000 0.4555 (multiplicity 4)  7 S 2.68-2.91
3 S 0.0000 0.0000 0.5000 (multiplicity 2)  4 Pa 2.68
4 S 0.1205 0.5000 0.8292 (multiplicity 4)  3 Li 2.43-2.49
5 S 0.1644 0.0000 0.3058 (multiplicity 4)  1 Li 2.52, 3 Pa 2.78-2.79

* ΔE to the lowest computed polymorph: 0.0 meV per atom
* formation energy from raw total energies: -1.443 eV per atom


Material: Tb3Pr6Dy2
Method: DFT, PBE
State: optimized geometry

a = 6.3095 Å, b = 8.1186 Å, c = 8.1536 Å
α = 107.37°, β = 97.33°, γ = 104.92°
Last column: nearest neighbours and their distance in Å.
Space group P-1 (No. 2)
Inequivalent atoms, fractional coordinates:
1 Tb 0.0000 0.0000 0.0000 (multiplicity 1)  2 Tb 3.62, 8 Pr 3.63-3.66, 2 Dy 3.65
2 Tb 0.0904 0.3609 0.8170 (multiplicity 2)  2 Dy 3.61-3.63, 2 Tb 3.62-3.67, 8 Pr 3.62-3.67
3 Pr 0.1796 0.7294 0.6345 (multiplicity 2)  3 Dy 3.59-3.66, 3 Tb 3.62-3.67, 6 Pr 3.64-3.68
4 Pr 0.3642 0.4539 0.2706 (multiplicity 2)  6 Pr 3.62-3.68, 4 Tb 3.63-3.65, 2 Dy 3.65-3.66
5 Pr 0.4524 0.8184 0.0927 (multiplicity 2)  5 Pr 3.62-3.68, 2 Dy 3.62-3.64, 5 Tb 3.62-3.66
6 Dy 0.2709 0.0886 0.4541 (multiplicity 2)  7 Pr 3.59-3.66, 3 Tb 3.61-3.65, 2 Dy 3.62-3.64

* ΔE to the lowest computed polymorph: 0.0 meV per atom


Material: SrGaF2
Method: DFT, PBE
State: optimized geometry

a = 4.3091 Å, b = 4.3091 Å, c = 19.4636 Å
α = 90.00°, β = 90.00°, γ = 120.00°
Last column: nearest neighbours and their distance in Å.
Space group R-3m (No. 166, hexagonal axes)
Inequivalent atoms, fractional coordinates:
1 Sr 0.0000 0.0000 0.0000 (multiplicity 3)  2 F 2.27
2 Ga 0.0000 0.0000 0.5000 (multiplicity 3)  6 F 2.67
3 F 0.0000 0.0000 0.1168 (multiplicity 6)  1 Sr 2.27

* ΔE to the lowest computed polymorph: 591.9 meV per atom
* formation energy from raw total energies: -1.954 eV per atom


no.,uncorrected energy (Ry per atom),Fermi-level density of states (states/eV per cell),calculated volume (Å³ per atom)
1,-0.43311,0.000,20.5
2,-0.34179,2.899,20.2
3,-0.16049,14.392,26.5
4,-0.46097,7.371,22.7
5,-0.34475,14.866,34.1
6,-0.29890,3.712,26.1